[1]
Density functional theory data (PBE-GGA) for an optimized crystal structure of CeNdSb.

Space group = No. 129
Energy relative to the elements, uncorrected = -0.822 eV/atom
Total magnetic moment = 0.204 μB/atom
DFT total energy = -17.291 eV per formula unit

a b c (Å): 4.4286 4.4286 9.0397
angles (deg): 90.00 90.00 90.00
Sites, in units of the cell vectors:
Ce  0.2500  0.7500  0.0000
Ce  0.7500  0.2500  0.0000
Nd  0.2500  0.2500  0.3619
Nd  0.7500  0.7500  0.6381
Sb  0.2500  0.2500  0.7240
Sb  0.7500  0.7500  0.2760



[2]
Density functional theory data (PBE-GGA) for an optimized crystal structure of Ce2NdSb.

Space group = No. 11
Energy relative to the elements, uncorrected = -0.603 eV/atom
Total magnetic moment = 0.001 μB/atom
DFT total energy = -23.170 eV per formula unit
Offset from the most stable computed form = 0 meV/atom

a b c (Å): 4.4962 4.4024 11.7622
angles (deg): 90.00 100.48 90.00
Sites, in units of the cell vectors:
Ce  0.9996  0.2500  0.1165
Ce  0.0004  0.7500  0.8835
Ce  0.4001  0.2500  0.8876
Ce  0.5999  0.7500  0.1124
Nd  0.3025  0.7500  0.6104
Nd  0.6975  0.2500  0.3896
Sb  0.1741  0.7500  0.3294
Sb  0.8259  0.2500  0.6706



[3]
Density functional theory data (PBE-GGA) for an optimized crystal structure of CeNdSb.

Space group = No. 107
Energy relative to the elements, uncorrected = -0.611 eV/atom
Total magnetic moment = 0.311 μB/atom
DFT total energy = -16.657 eV per formula unit

a b c (Å): 5.7989 5.7989 5.7989
angles (deg): 137.64 137.64 61.46
Sites, in units of the cell vectors:
Ce  0.0000  0.0000  0.0000
Nd  0.7044  0.7044  0.0000
Sb  0.3509  0.3509  0.0000